(1)
A relaxed Ta2MnCl crystal, computed with GGA-PBEsol.

The space group is Fm-3m (No. 225) and the conventional cell measures 6.2323, 6.2323 and 6.2323 Å, with angles of 90.00, 90.00 and 90.00 degrees. The asymmetric unit holds Ta at (0.2500, 0.2500, 0.2500), Mn at (0.0000, 0.0000, 0.0000) and Cl at (0.0000, 0.0000, 0.5000).

As for the uncorrected formation energy: 563 meV per atom. The value obtained for the calculated volume is 242.1 Å³/cell. As for the energy above the most stable polymorph in this dataset: 0 meV per atom.

***

(2)
A relaxed HfMnP2C crystal, computed with GGA-PBEsol.

The space group is P4/mmm (No. 123) and the conventional cell measures 4.5280, 4.5280 and 3.4965 Å, with angles of 90.00, 90.00 and 90.00 degrees. The asymmetric unit holds Hf at (0.0000, 0.0000, 0.0000), Mn at (0.5000, 0.5000, 0.5000), P at (0.0000, 0.5000, 0.5000) and C at (0.5000, 0.5000, 0.0000).

The value obtained for the calculated volume is 71.7 Å³/cell. The value obtained for the formation enthalpy at 0 K is 0.359 eV/atom.

***

(3)
A relaxed NaCaSc2Ag crystal, computed with GGA-PBEsol.

The space group is P4/mmm (No. 123) and the conventional cell measures 5.2301, 5.2301 and 5.4771 Å, with angles of 90.00, 90.00 and 90.00 degrees. The asymmetric unit holds Na at (0.0000, 0.0000, 0.0000), Ca at (0.5000, 0.5000, 0.0000), Sc at (0.0000, 0.5000, 0.5000) and Ag at (0.0000, 0.0000, 0.5000).

The value obtained for the calculated volume is 149.8 Å³/cell. The value obtained for the formation enthalpy at 0 K is 0.351 eV/atom.

***

(4)
A relaxed Sr2Ge2Sb crystal, computed with GGA-PBEsol.

The space group is P4/mbm (No. 127) and the conventional cell measures 7.6738, 7.6738 and 4.5951 Å, with angles of 90.00, 90.00 and 90.00 degrees. The asymmetric unit holds Sr at (0.1798, 0.3202, 0.0000), Ge at (0.1163, 0.6163, 0.5000) and Sb at (0.0000, 0.0000, 0.5000).

As for the uncorrected formation energy: -638 meV per atom. The value obtained for the calculated volume is 270.6 Å³/cell.